(1)
AlAs: relaxed, PBEsol. Values from VASP.

Values from the calculation:
The value obtained for the total DFT energy (no corrections) is -17.5 eV for the cell shown. For the formation energy, the calculation gives 0.2317 eV/atom. Its magnetization is 0.000 Bohr magnetons per cell.

Geometry as Quantum ESPRESSO input:
```
&SYSTEM
  ibrav = 0, nat = 4, ntyp = 2
/
ATOMIC_SPECIES
Al 26.98 Al.upf
As 74.92 As.upf
CELL_PARAMETERS angstrom
0.000 3.292 3.292
3.292 0.000 3.292
3.292 3.292 0.000
ATOMIC_POSITIONS angstrom
Al 0.823 0.823 0.823
Al 5.761 5.761 5.761
As 2.469 2.469 2.469
As 4.115 4.115 4.115
```

(2)
Mg2RhBr: relaxed, PBEsol. Values from VASP.

Values from the calculation:
The value obtained for the total DFT energy (no corrections) is -15.1 eV for the cell shown. Its magnetization is 0.000 Bohr magnetons per cell.

Geometry as Quantum ESPRESSO input:
```
&SYSTEM
  ibrav = 0, nat = 4, ntyp = 3
/
ATOMIC_SPECIES
Mg 24.30 Mg.upf
Rh 102.91 Rh.upf
Br 79.90 Br.upf
CELL_PARAMETERS angstrom
1.679 0.970 7.848
-1.679 0.970 7.848
0.000 -1.939 7.848
ATOMIC_POSITIONS angstrom
Mg 0.000 0.000 5.672
Mg 0.000 0.000 17.872
Rh 0.000 0.000 11.772
Br 0.000 0.000 0.000
```

(3)
Ti2RePd: relaxed, PBEsol. Values from VASP.

Values from the calculation:
The value obtained for the total DFT energy (no corrections) is -37.9 eV for the cell shown. For the formation energy, the calculation gives -0.4949 eV/atom. Its magnetization is 0.000 Bohr magnetons per cell.

Geometry as Quantum ESPRESSO input:
```
&SYSTEM
  ibrav = 0, nat = 4, ntyp = 3
/
ATOMIC_SPECIES
Ti 47.87 Ti.upf
Re 186.21 Re.upf
Pd 106.42 Pd.upf
CELL_PARAMETERS angstrom
0.000 3.094 3.094
3.094 0.000 3.094
3.094 3.094 0.000
ATOMIC_POSITIONS angstrom
Ti 1.547 1.547 1.547
Ti 4.641 4.641 4.641
Re 0.000 0.000 0.000
Pd 3.094 3.094 3.094
```

(4)
SrCaMo2: relaxed, PBEsol. Values from VASP.

Values from the calculation:
The value obtained for the total DFT energy (no corrections) is -22.6 eV for the cell shown. For the formation energy, the calculation gives 1.2384 eV/atom. Its magnetization is 0.000 Bohr magnetons per cell.

Geometry as Quantum ESPRESSO input:
```
&SYSTEM
  ibrav = 0, nat = 4, ntyp = 3
/
ATOMIC_SPECIES
Sr 87.62 Sr.upf
Ca 40.08 Ca.upf
Mo 95.94 Mo.upf
CELL_PARAMETERS angstrom
1.503 0.867 10.738
-1.503 0.867 10.738
0.000 -1.735 10.738
ATOMIC_POSITIONS angstrom
Sr 0.000 0.000 0.000
Ca 0.000 0.000 16.108
Mo 0.000 0.000 7.971
Mo 0.000 0.000 24.244
```

(5)
BePtAu2: relaxed, PBEsol. Values from VASP.

Values from the calculation:
The value obtained for the total DFT energy (no corrections) is -19.0 eV for the cell shown. For the formation energy, the calculation gives -0.0593 eV/atom. Its magnetization is 0.000 Bohr magnetons per cell.

Geometry as Quantum ESPRESSO input:
```
&SYSTEM
  ibrav = 0, nat = 4, ntyp = 3
/
ATOMIC_SPECIES
Be 9.01 Be.upf
Pt 195.08 Pt.upf
Au 196.97 Au.upf
CELL_PARAMETERS angstrom
-1.968 1.968 3.800
1.968 -1.968 3.800
1.968 1.968 -3.800
ATOMIC_POSITIONS angstrom
Be 0.000 0.000 0.000
Pt 0.000 1.968 1.900
Au 1.968 0.000 1.900
Au 0.000 0.000 3.800
```

(6)
Tc2As3: relaxed, PBEsol. Values from VASP.

Values from the calculation:
The value obtained for the total DFT energy (no corrections) is -38.3 eV for the cell shown. For the formation energy, the calculation gives -0.0814 eV/atom. Its magnetization is 0.000 Bohr magnetons per cell.

Geometry as Quantum ESPRESSO input:
```
&SYSTEM
  ibrav = 0, nat = 5, ntyp = 2
/
ATOMIC_SPECIES
Tc 98.00 Tc.upf
As 74.92 As.upf
CELL_PARAMETERS angstrom
1.541 0.890 9.534
-1.541 0.890 9.534
0.000 -1.779 9.534
ATOMIC_POSITIONS angstrom
Tc 0.000 0.000 2.812
Tc 0.000 0.000 25.791
As 0.000 0.000 8.397
As 0.000 0.000 14.302
As 0.000 0.000 20.206
```

(7)
CoIr3: relaxed, PBEsol. Values from VASP.

Values from the calculation:
The value obtained for the total DFT energy (no corrections) is -37.1 eV for the cell shown. For the formation energy, the calculation gives 0.0207 eV/atom. Its magnetization is 1.428 Bohr magnetons per cell.

Geometry as Quantum ESPRESSO input:
```
&SYSTEM
  ibrav = 0, nat = 4, ntyp = 2
/
ATOMIC_SPECIES
Co 58.93 Co.upf
Ir 192.22 Ir.upf
CELL_PARAMETERS angstrom
2.682 0.000 0.000
0.000 2.682 0.000
0.000 0.000 7.332
ATOMIC_POSITIONS angstrom
Co 0.000 0.000 0.000
Ir 0.000 0.000 3.666
Ir 1.341 1.341 1.747
Ir 1.341 1.341 5.584
```

(8)
CoMoW3: relaxed, PBEsol. Values from VASP.

Values from the calculation:
The value obtained for the total DFT energy (no corrections) is -53.5 eV for the cell shown. For the formation energy, the calculation gives 1.4852 eV/atom. Its magnetization is 0.001 Bohr magnetons per cell.

Geometry as Quantum ESPRESSO input:
```
&SYSTEM
  ibrav = 0, nat = 5, ntyp = 3
/
ATOMIC_SPECIES
Co 58.93 Co.upf
Mo 95.94 Mo.upf
W 183.84 W.upf
CELL_PARAMETERS angstrom
4.380 0.000 0.000
0.000 4.380 0.000
0.000 0.000 4.380
ATOMIC_POSITIONS angstrom
Co 0.000 0.000 0.000
Mo 2.190 2.190 2.190
W 0.000 0.000 2.190
W 0.000 2.190 0.000
W 2.190 0.000 0.000
```

(9)
CdRhNO2: relaxed, PBEsol. Values from VASP.

Values from the calculation:
The value obtained for the total DFT energy (no corrections) is -21.1 eV for the cell shown. Its magnetization is 4.481 Bohr magnetons per cell.

Geometry as Quantum ESPRESSO input:
```
&SYSTEM
  ibrav = 0, nat = 5, ntyp = 4
/
ATOMIC_SPECIES
Cd 112.41 Cd.upf
Rh 102.91 Rh.upf
N 14.01 N.upf
O 16.00 O.upf
CELL_PARAMETERS angstrom
4.077 0.000 0.000
0.000 4.077 0.000
0.000 0.000 4.086
ATOMIC_POSITIONS angstrom
Cd 0.000 0.000 0.000
Rh 2.038 2.038 2.043
N 0.000 0.000 2.043
O 0.000 2.038 0.000
O 2.038 0.000 0.000
```

(10)
CaNiC2Cl: relaxed, PBEsol. Values from VASP.

Values from the calculation:
The value obtained for the total DFT energy (no corrections) is -27.0 eV for the cell shown. Its magnetization is 0.730 Bohr magnetons per cell.

Geometry as Quantum ESPRESSO input:
```
&SYSTEM
  ibrav = 0, nat = 5, ntyp = 4
/
ATOMIC_SPECIES
Ca 40.08 Ca.upf
Ni 58.69 Ni.upf
C 12.01 C.upf
Cl 35.45 Cl.upf
CELL_PARAMETERS angstrom
3.654 0.000 0.000
0.000 3.654 0.000
0.000 0.000 5.765
ATOMIC_POSITIONS angstrom
Ca 0.000 0.000 0.000
Ni 0.000 0.000 2.883
C 0.000 1.827 2.883
C 1.827 0.000 2.883
Cl 1.827 1.827 0.000
```

(11)
BAsF2: relaxed, PBEsol. Values from VASP.

Values from the calculation:
The value obtained for the total DFT energy (no corrections) is -14.5 eV for the cell shown. Its magnetization is 0.002 Bohr magnetons per cell.

Geometry as Quantum ESPRESSO input:
```
&SYSTEM
  ibrav = 0, nat = 4, ntyp = 3
/
ATOMIC_SPECIES
B 10.81 B.upf
As 74.92 As.upf
F 19.00 F.upf
CELL_PARAMETERS angstrom
0.000 2.850 2.850
2.850 0.000 2.850
2.850 2.850 0.000
ATOMIC_POSITIONS angstrom
B 0.000 0.000 0.000
As 2.850 2.850 2.850
F 1.425 1.425 1.425
F 4.274 4.274 4.274
```

(12)
LaP2Ir: relaxed, PBEsol. Values from VASP.

Values from the calculation:
The value obtained for the total DFT energy (no corrections) is -29.3 eV for the cell shown. For the formation energy, the calculation gives -0.6489 eV/atom. Its magnetization is 0.000 Bohr magnetons per cell.

Geometry as Quantum ESPRESSO input:
```
&SYSTEM
  ibrav = 0, nat = 4, ntyp = 3
/
ATOMIC_SPECIES
La 138.91 La.upf
P 30.97 P.upf
Ir 192.22 Ir.upf
CELL_PARAMETERS angstrom
-1.735 1.784 6.050
1.735 -1.784 6.050
1.735 1.784 -6.050
ATOMIC_POSITIONS angstrom
La 0.000 0.000 0.000
P 1.735 0.000 3.735
P 0.000 0.000 7.518
Ir 0.000 1.784 3.000
```

- Which value of magnetization does entry 10 give?
  0.730 Bohr magnetons per cell